## La2Nd2YEr (PBE)

Data for a relaxed La2Nd2YEr crystal.

Computed properties:
Its magnetic moment is 0.00 μB/cell. The calculation puts the raw total energy at -5.019 eV per atom.

Cell lengths 5.7587, 7.1501, 10.0053 Å; angles 90.00, 90.00, 90.00 degrees
With the nearest neighbours (Å) after each atom.
Sites, in units of the cell vectors:
La 0.5000 0.0076 0.0005  6 La 3.58-3.82, 6 Nd 3.76-3.77, 2 Er 3.86-3.87
La 0.0000 0.2580 0.1753  5 Nd 3.28-3.58
La 0.5000 0.5076 0.9995  6 La 3.58-3.82, 6 Nd 3.76-3.77, 2 Er 3.86-3.87
La 0.0000 0.7580 0.8247  5 Nd 3.28-3.58
Nd 0.0000 0.2573 0.8353  2 Er 3.39, 7 La 3.40-3.77
Nd 0.5000 0.2578 0.3315  3 Er 3.26-3.58, 2 La 3.28
Nd 0.0000 0.7573 0.1647  2 Er 3.39, 7 La 3.40-3.77
Nd 0.5000 0.7578 0.6685  3 Er 3.26-3.58, 2 La 3.28
Y 0.0000 0.0075 0.4998  2 Y 3.58, 2 La 3.71, 4 Er 3.74, 6 Nd 3.79-3.80
Y 0.0000 0.5075 0.5002  2 Y 3.58, 2 La 3.71, 4 Er 3.74, 6 Nd 3.79-3.80
Er 0.5000 0.2574 0.6572  5 Nd 3.26-3.58
Er 0.5000 0.7574 0.3428  5 Nd 3.26-3.58


## La2NdY5Er (PBE)

Data for a relaxed La2NdY5Er crystal.

Computed properties:
Its magnetic moment is 0.05 μB/cell. The calculation puts the raw total energy at -5.484 eV per atom.

Cell lengths 8.6437, 8.6437, 10.0680 Å; angles 115.42, 115.42, 90.00 degrees
With the nearest neighbours (Å) after each atom.
Sites, in units of the cell vectors:
La 0.1185 0.3815 0.0000  1 La 2.90, 2 Y 3.06
La 0.6185 0.1185 0.0000  1 La 2.90, 2 Y 3.06
La 0.3815 0.8815 0.0000  1 La 2.90, 2 Y 3.06
La 0.8815 0.6185 0.0000  1 La 2.90, 2 Y 3.06
Nd 0.2500 0.7500 0.5000  4 Y 3.13
Nd 0.7500 0.2500 0.5000  4 Y 3.13
Y 0.9286 0.4286 0.2826  1 La 3.06, 1 Nd 3.13
Y 0.6459 0.1459 0.7174  1 La 3.06, 1 Nd 3.13
Y 0.0714 0.5714 0.7174  1 La 3.06, 1 Nd 3.13
Y 0.1459 0.0714 0.7174  1 La 3.06, 1 Nd 3.13
Y 0.5714 0.6459 0.7174  1 La 3.06, 1 Nd 3.13
Y 0.8541 0.9286 0.2826  1 La 3.06, 1 Nd 3.13
Y 0.4286 0.3541 0.2826  1 La 3.06, 1 Nd 3.13
Y 0.3541 0.8541 0.2826  1 La 3.06, 1 Nd 3.13
Y 0.5000 0.5000 0.0000  4 La 3.45, 8 Y 3.83
Y 0.0000 0.0000 0.0000  4 La 3.45, 8 Y 3.83
Er 0.2500 0.2500 0.5000  8 Y 3.55
Er 0.7500 0.7500 0.5000  8 Y 3.55


## LaNd2Y5Er (PBE)

Data for a relaxed LaNd2Y5Er crystal.

Computed properties:
Its magnetic moment is 0.00 μB/cell. The calculation puts the raw total energy at -5.458 eV per atom.

Cell lengths 8.8025, 8.8025, 9.9847 Å; angles 116.15, 116.15, 90.00 degrees
With the nearest neighbours (Å) after each atom.
Sites, in units of the cell vectors:
La 0.2500 0.2500 0.5000  10 Y 3.62-3.90
La 0.7500 0.7500 0.5000  10 Y 3.62-3.90
Nd 0.1167 0.3833 0.0000  1 Nd 2.91, 2 Y 3.04
Nd 0.6167 0.1167 0.0000  1 Nd 2.91, 2 Y 3.04
Nd 0.3833 0.8833 0.0000  1 Nd 2.91, 2 Y 3.04
Nd 0.8833 0.6167 0.0000  1 Nd 2.91, 2 Y 3.04
Y 0.9276 0.4276 0.2728  1 Nd 3.04, 1 Er 3.15
Y 0.6549 0.1549 0.7272  1 Nd 3.04, 1 Er 3.15
Y 0.0724 0.5724 0.7272  1 Nd 3.04, 1 Er 3.15
Y 0.1549 0.0724 0.7272  1 Nd 3.04, 1 Er 3.15
Y 0.5724 0.6549 0.7272  1 Nd 3.04, 1 Er 3.15
Y 0.8451 0.9276 0.2728  1 Nd 3.04, 1 Er 3.15
Y 0.4276 0.3451 0.2728  1 Nd 3.04, 1 Er 3.15
Y 0.3451 0.8451 0.2728  1 Nd 3.04, 1 Er 3.15
Y 0.5000 0.5000 0.0000  4 Nd 3.53, 8 Y 3.81, 2 La 3.90
Y 0.0000 0.0000 0.0000  4 Nd 3.53, 8 Y 3.81, 2 La 3.90
Er 0.2500 0.7500 0.5000  4 Y 3.15
Er 0.7500 0.2500 0.5000  4 Y 3.15


## La2Nd2YEr2 (PBE)

Data for a relaxed La2Nd2YEr2 crystal.

Computed properties:
Its magnetic moment is 0.00 μB/cell. The calculation puts the raw total energy at -4.972 eV per atom.

Cell lengths 5.1438, 6.2824, 8.1582 Å; angles 97.36, 90.00, 114.17 degrees
With the nearest neighbours (Å) after each atom.
Sites, in units of the cell vectors:
La 0.1422 0.2845 0.4263  5 Er 3.62-3.66, 1 Y 3.63, 3 La 3.63-3.65, 3 Nd 3.64-3.68
La 0.8578 0.7155 0.5737  5 Er 3.62-3.66, 1 Y 3.63, 3 La 3.63-3.65, 3 Nd 3.64-3.68
Nd 0.7146 0.4293 0.1406  2 Nd 3.61, 3 Y 3.62-3.63, 4 Er 3.63-3.64, 3 La 3.64-3.68
Nd 0.2854 0.5707 0.8594  2 Nd 3.61, 3 Y 3.62-3.63, 4 Er 3.63-3.64, 3 La 3.64-3.68
Y 0.0000 0.0000 0.0000  6 Nd 3.62-3.63, 2 La 3.63, 4 Er 3.63
Er 0.5706 0.1413 0.7155  5 La 3.62-3.66, 4 Nd 3.63-3.64, 2 Y 3.63, 1 Er 3.66
Er 0.4294 0.8587 0.2845  5 La 3.62-3.66, 4 Nd 3.63-3.64, 2 Y 3.63, 1 Er 3.66


## La2NdYEr5 (PBE)

Data for a relaxed La2NdYEr5 crystal.

Computed properties:
Its magnetic moment is 0.00 μB/cell. The calculation puts the raw total energy at -4.625 eV per atom.

Cell lengths 8.6839, 8.6839, 9.9672 Å; angles 115.82, 115.82, 90.00 degrees
With the nearest neighbours (Å) after each atom.
Sites, in units of the cell vectors:
La 0.1171 0.3829 0.0000  1 La 2.88, 2 Er 3.02
La 0.6171 0.1171 0.0000  1 La 2.88, 2 Er 3.02
La 0.3829 0.8829 0.0000  1 La 2.88, 2 Er 3.02
La 0.8829 0.6171 0.0000  1 La 2.88, 2 Er 3.02
Nd 0.2500 0.2500 0.5000  10 Er 3.54-3.93
Nd 0.7500 0.7500 0.5000  10 Er 3.54-3.93
Y 0.2500 0.7500 0.5000  4 Er 3.16
Y 0.7500 0.2500 0.5000  4 Er 3.16
Er 0.9250 0.4250 0.2814  1 La 3.02, 1 Y 3.16
Er 0.6435 0.1435 0.7186  1 La 3.02, 1 Y 3.16
Er 0.0750 0.5750 0.7186  1 La 3.02, 1 Y 3.16
Er 0.1435 0.0750 0.7186  1 La 3.02, 1 Y 3.16
Er 0.5750 0.6435 0.7186  1 La 3.02, 1 Y 3.16
Er 0.8565 0.9250 0.2814  1 La 3.02, 1 Y 3.16
Er 0.4250 0.3565 0.2814  1 La 3.02, 1 Y 3.16
Er 0.3565 0.8565 0.2814  1 La 3.02, 1 Y 3.16
Er 0.5000 0.5000 0.0000  4 La 3.48, 8 Er 3.81
Er 0.0000 0.0000 0.0000  4 La 3.48, 8 Er 3.81


## La2Nd6YEr (PBE)

Data for a relaxed La2Nd6YEr crystal.

Computed properties:
Its magnetic moment is 0.00 μB/cell. The calculation puts the raw total energy at -4.838 eV per atom.

Cell lengths 10.0700, 8.9630, 8.9630 Å; angles 118.23, 95.02, 95.02 degrees
With the nearest neighbours (Å) after each atom.
Sites, in units of the cell vectors:
La 0.4589 0.8050 0.7040  5 Nd 3.29-3.59, 2 Y 3.43-3.48, 1 Er 3.63
La 0.0411 0.2960 0.1950  5 Nd 3.29-3.59, 2 Y 3.43-3.48, 1 Er 3.63
La 0.5411 0.1950 0.2960  5 Nd 3.29-3.59, 2 Y 3.43-3.48, 1 Er 3.63
La 0.9589 0.7040 0.8050  5 Nd 3.29-3.59, 2 Y 3.43-3.48, 1 Er 3.63
Nd 0.0552 0.1247 0.7453  8 Nd 3.49-3.90, 1 La 3.59, 1 Y 3.69, 1 Er 3.85
Nd 0.4448 0.2547 0.8753  8 Nd 3.49-3.90, 1 La 3.59, 1 Y 3.69, 1 Er 3.85
Nd 0.9448 0.8753 0.2547  8 Nd 3.49-3.90, 1 La 3.59, 1 Y 3.69, 1 Er 3.85
Nd 0.5552 0.7453 0.1247  8 Nd 3.49-3.90, 1 La 3.59, 1 Y 3.69, 1 Er 3.85
Nd 0.3103 0.9811 0.4196  5 Nd 3.38-3.78, 1 La 3.46, 1 Er 3.50, 1 Y 3.65
Nd 0.1897 0.5804 0.0189  5 Nd 3.38-3.78, 1 La 3.46, 1 Er 3.50, 1 Y 3.65
Nd 0.6897 0.0189 0.5804  5 Nd 3.38-3.78, 1 La 3.46, 1 Er 3.50, 1 Y 3.65
Nd 0.8103 0.4196 0.9811  5 Nd 3.38-3.78, 1 La 3.46, 1 Er 3.50, 1 Y 3.65
Nd 0.1209 0.7070 0.5031  3 La 3.29-3.54, 4 Nd 3.38-3.65, 1 Er 3.49
Nd 0.3791 0.4969 0.2930  3 La 3.29-3.54, 4 Nd 3.38-3.65, 1 Er 3.49
Nd 0.8791 0.2930 0.4969  3 La 3.29-3.54, 4 Nd 3.38-3.65, 1 Er 3.49
Nd 0.6209 0.5031 0.7070  3 La 3.29-3.54, 4 Nd 3.38-3.65, 1 Er 3.49
Y 0.2500 0.9858 0.0142  4 La 3.43-3.48, 4 Nd 3.65-3.69
Y 0.7500 0.0142 0.9858  4 La 3.43-3.48, 4 Nd 3.65-3.69
Er 0.2500 0.4054 0.5946  8 Nd 3.49-3.85, 2 La 3.63
Er 0.7500 0.5946 0.4054  8 Nd 3.49-3.85, 2 La 3.63


## La2Nd2Y4Er (PBE)

Data for a relaxed La2Nd2Y4Er crystal.

Computed properties:
Its magnetic moment is 0.00 μB/cell. The calculation puts the raw total energy at -5.531 eV per atom.

Cell lengths 3.6642, 9.6628, 9.7253 Å; angles 115.21, 90.00, 100.93 degrees
With the nearest neighbours (Å) after each atom.
Sites, in units of the cell vectors:
La 0.3355 0.6710 0.0003  3 Y 3.59-3.62, 2 Er 3.62, 3 Nd 3.63-3.65, 4 La 3.66-3.72
La 0.6645 0.3290 0.9997  3 Y 3.59-3.62, 2 Er 3.62, 3 Nd 3.63-3.65, 4 La 3.66-3.72
Nd 0.8526 0.7052 0.3360  7 Y 3.55-3.68, 3 La 3.63-3.65, 2 Nd 3.66
Nd 0.1474 0.2948 0.6640  7 Y 3.55-3.68, 3 La 3.63-3.65, 2 Nd 3.66
Y 0.8151 0.6302 0.6635  3 Nd 3.55-3.67, 6 Y 3.57-3.66, 1 Er 3.61, 2 La 3.62
Y 0.1849 0.3698 0.3365  3 Nd 3.55-3.67, 6 Y 3.57-3.66, 1 Er 3.61, 2 La 3.62
Y 0.5201 0.0403 0.3325  4 Nd 3.58-3.68, 2 Er 3.59, 1 La 3.59, 5 Y 3.61-3.66
Y 0.4799 0.9597 0.6675  4 Nd 3.58-3.68, 2 Er 3.59, 1 La 3.59, 5 Y 3.61-3.66
Er 0.0000 0.0000 0.0000  6 Y 3.59-3.61, 4 La 3.62, 2 Er 3.66


## La6Nd2YEr (PBE)

Data for a relaxed La6Nd2YEr crystal.

Computed properties:
Its magnetic moment is 0.00 μB/cell. The calculation puts the raw total energy at -4.900 eV per atom.

Cell lengths 9.3165, 9.1522, 9.1522 Å; angles 114.67, 89.47, 89.47 degrees
With the nearest neighbours (Å) after each atom.
Sites, in units of the cell vectors:
La 0.0965 0.0709 0.7804  4 La 3.24-3.61, 1 Y 3.49, 1 Nd 3.58
La 0.4035 0.2196 0.9291  4 La 3.24-3.61, 1 Y 3.49, 1 Nd 3.58
La 0.9035 0.9291 0.2196  4 La 3.24-3.61, 1 Y 3.49, 1 Nd 3.58
La 0.5965 0.7804 0.0709  4 La 3.24-3.61, 1 Y 3.49, 1 Nd 3.58
La 0.3199 0.0354 0.4731  3 La 3.39-3.49, 1 Er 3.45, 1 Y 3.46, 1 Nd 3.50
La 0.1801 0.5269 0.9646  3 La 3.39-3.49, 1 Er 3.45, 1 Y 3.46, 1 Nd 3.50
La 0.6801 0.9646 0.5269  3 La 3.39-3.49, 1 Er 3.45, 1 Y 3.46, 1 Nd 3.50
La 0.8199 0.4731 0.0354  3 La 3.39-3.49, 1 Er 3.45, 1 Y 3.46, 1 Nd 3.50
La 0.0900 0.7240 0.4251  4 La 3.30-3.61, 2 Er 3.52-3.69, 1 Nd 3.59
La 0.4100 0.5749 0.2760  4 La 3.30-3.61, 2 Er 3.52-3.69, 1 Nd 3.59
La 0.9100 0.2760 0.5749  4 La 3.30-3.61, 2 Er 3.52-3.69, 1 Nd 3.59
La 0.5900 0.4251 0.7240  4 La 3.30-3.61, 2 Er 3.52-3.69, 1 Nd 3.59
Nd 0.4381 0.7935 0.7037  2 Er 3.48-3.78, 6 La 3.50-3.80, 2 Y 3.51-3.88
Nd 0.0619 0.2963 0.2065  2 Er 3.48-3.78, 6 La 3.50-3.80, 2 Y 3.51-3.88
Nd 0.5619 0.2065 0.2963  2 Er 3.48-3.78, 6 La 3.50-3.80, 2 Y 3.51-3.88
Nd 0.9381 0.7037 0.7935  2 Er 3.48-3.78, 6 La 3.50-3.80, 2 Y 3.51-3.88
Y 0.2500 0.9287 0.0713  6 La 3.46-3.71, 2 Nd 3.51
Y 0.7500 0.0713 0.9287  6 La 3.46-3.71, 2 Nd 3.51
Er 0.2500 0.4355 0.5645  6 La 3.45-3.69, 4 Nd 3.48-3.78
Er 0.7500 0.5645 0.4355  6 La 3.45-3.69, 4 Nd 3.48-3.78


## LaNd6Y3Er2 (PBE)

Data for a relaxed LaNd6Y3Er2 crystal.

Computed properties:
Its magnetic moment is 0.00 μB/cell. The calculation puts the raw total energy at -5.075 eV per atom.

Cell lengths 10.1588, 10.1588, 5.8980 Å; angles 106.87, 106.87, 122.47 degrees
With the nearest neighbours (Å) after each atom.
Sites, in units of the cell vectors:
La 0.0000 0.0000 0.0000  8 Nd 3.68-3.73, 6 Y 3.90-4.01
Nd 0.9217 0.5673 0.7449  3 Er 3.47-3.52, 4 Y 3.58-3.69, 1 La 3.73, 1 Nd 3.81
Nd 0.7171 0.7171 0.2160  2 Er 3.37, 1 Nd 3.39, 4 Y 3.39-3.50, 2 La 3.68-3.69
Nd 0.0783 0.4327 0.2551  3 Er 3.47-3.52, 4 Y 3.58-3.69, 1 La 3.73, 1 Nd 3.81
Nd 0.5673 0.9217 0.7449  3 Er 3.47-3.52, 4 Y 3.58-3.69, 1 La 3.73, 1 Nd 3.81
Nd 0.2829 0.2829 0.7840  2 Er 3.37, 1 Nd 3.39, 4 Y 3.39-3.50, 2 La 3.68-3.69
Nd 0.4327 0.0783 0.2551  3 Er 3.47-3.52, 4 Y 3.58-3.69, 1 La 3.73, 1 Nd 3.81
Y 0.1524 0.8476 0.5000  8 Nd 3.50-3.59, 2 Er 3.90
Y 0.8476 0.1524 0.5000  8 Nd 3.50-3.59, 2 Er 3.90
Y 0.5000 0.5000 0.5000  8 Nd 3.39-3.69
Er 0.3366 0.6634 0.0000  8 Nd 3.37-3.52
Er 0.6634 0.3366 0.0000  8 Nd 3.37-3.52


## La2NdY2Er2 (PBE)

Data for a relaxed La2NdY2Er2 crystal.

Computed properties:
Its magnetic moment is 0.00 μB/cell. The calculation puts the raw total energy at -5.210 eV per atom.

Cell lengths 5.1081, 6.2598, 8.1399 Å; angles 97.54, 90.00, 114.08 degrees
With the nearest neighbours (Å) after each atom.
Sites, in units of the cell vectors:
La 0.1407 0.2814 0.4268  3 La 3.59-3.65, 5 Er 3.59-3.65, 1 Nd 3.61, 3 Y 3.65-3.67
La 0.8593 0.7186 0.5732  3 La 3.59-3.65, 5 Er 3.59-3.65, 1 Nd 3.61, 3 Y 3.65-3.67
Nd 0.0000 0.0000 0.0000  6 Y 3.59-3.62, 4 Er 3.61, 2 La 3.61
Y 0.7158 0.4316 0.1396  2 Y 3.58, 3 Nd 3.59-3.62, 4 Er 3.60-3.63, 3 La 3.65-3.67
Y 0.2842 0.5684 0.8604  2 Y 3.58, 3 Nd 3.59-3.62, 4 Er 3.60-3.63, 3 La 3.65-3.67
Er 0.5709 0.1417 0.7167  5 La 3.59-3.65, 4 Y 3.60-3.63, 2 Nd 3.61, 1 Er 3.66
Er 0.4291 0.8583 0.2833  5 La 3.59-3.65, 4 Y 3.60-3.63, 2 Nd 3.61, 1 Er 3.66


## LaNdY2Er2 (PBE)

Data for a relaxed LaNdY2Er2 crystal.

Computed properties:
Its magnetic moment is 0.00 μB/cell. The calculation puts the raw total energy at -5.023 eV per atom.

Cell lengths 3.4190, 6.5680, 18.0876 Å; angles 90.00, 90.00, 90.00 degrees
With the nearest neighbours (Å) after each atom.
Sites, in units of the cell vectors:
La 0.0000 0.0000 0.0000  2 Er 3.26, 2 La 3.42
La 0.5000 0.5000 0.5000  2 Er 3.26, 2 La 3.42
Nd 0.5000 0.5000 0.0000  2 Nd 3.42, 4 Er 3.48, 4 La 3.70
Nd 0.0000 0.0000 0.5000  2 Nd 3.42, 4 Er 3.48, 4 La 3.70
Y 0.5000 0.7184 0.3109  4 Er 3.36-3.41, 2 Y 3.42, 1 La 3.71
Y 0.5000 0.2816 0.6891  4 Er 3.36-3.41, 2 Y 3.42, 1 La 3.71
Y 0.0000 0.7816 0.8109  4 Er 3.36-3.41, 2 Y 3.42, 1 La 3.71
Y 0.0000 0.2184 0.1891  4 Er 3.36-3.41, 2 Y 3.42, 1 La 3.71
Er 0.5000 0.2171 0.3519  1 La 3.26, 4 Y 3.36-3.41, 2 Er 3.42, 2 Nd 3.48
Er 0.0000 0.7171 0.1481  1 La 3.26, 4 Y 3.36-3.41, 2 Er 3.42, 2 Nd 3.48
Er 0.5000 0.7829 0.6481  1 La 3.26, 4 Y 3.36-3.41, 2 Er 3.42, 2 Nd 3.48
Er 0.0000 0.2829 0.8519  1 La 3.26, 4 Y 3.36-3.41, 2 Er 3.42, 2 Nd 3.48


## La2NdY6Er (PBE)

Data for a relaxed La2NdY6Er crystal.

Computed properties:
Its magnetic moment is 0.00 μB/cell. The calculation puts the raw total energy at -5.684 eV per atom.

Cell lengths 9.9703, 8.7890, 8.7890 Å; angles 117.41, 95.59, 95.59 degrees
With the nearest neighbours (Å) after each atom.
Sites, in units of the cell vectors:
La 0.4552 0.8067 0.7135  5 Y 3.29-3.62, 2 Nd 3.36-3.39, 1 Er 3.55
La 0.0448 0.2865 0.1933  5 Y 3.29-3.62, 2 Nd 3.36-3.39, 1 Er 3.55
La 0.5448 0.1933 0.2865  5 Y 3.29-3.62, 2 Nd 3.36-3.39, 1 Er 3.55
La 0.9552 0.7135 0.8067  5 Y 3.29-3.62, 2 Nd 3.36-3.39, 1 Er 3.55
Nd 0.2500 0.9866 0.0134  4 La 3.36-3.39, 4 Y 3.62-3.63
Nd 0.7500 0.0134 0.9866  4 La 3.36-3.39, 4 Y 3.62-3.63
Y 0.0570 0.1176 0.7343  8 Y 3.46-3.85, 1 La 3.62, 1 Nd 3.63, 1 Er 3.72
Y 0.4430 0.2657 0.8824  8 Y 3.46-3.85, 1 La 3.62, 1 Nd 3.63, 1 Er 3.72
Y 0.9430 0.8824 0.2657  8 Y 3.46-3.85, 1 La 3.62, 1 Nd 3.63, 1 Er 3.72
Y 0.5570 0.7343 0.1176  8 Y 3.46-3.85, 1 La 3.62, 1 Nd 3.63, 1 Er 3.72
Y 0.3124 0.9812 0.4233  4 Y 3.30-3.68, 1 Er 3.46, 1 La 3.47, 1 Nd 3.62
Y 0.1876 0.5767 0.0188  4 Y 3.30-3.68, 1 Er 3.46, 1 La 3.47, 1 Nd 3.62
Y 0.6876 0.0188 0.5767  4 Y 3.30-3.68, 1 Er 3.46, 1 La 3.47, 1 Nd 3.62
Y 0.8124 0.4233 0.9812  4 Y 3.30-3.68, 1 Er 3.46, 1 La 3.47, 1 Nd 3.62
Y 0.1166 0.6977 0.4883  3 La 3.29-3.54, 4 Y 3.30-3.50, 2 Er 3.46-3.60
Y 0.3834 0.5117 0.3023  3 La 3.29-3.54, 4 Y 3.30-3.50, 2 Er 3.46-3.60
Y 0.8834 0.3023 0.5117  3 La 3.29-3.54, 4 Y 3.30-3.50, 2 Er 3.46-3.60
Y 0.6166 0.4883 0.6977  3 La 3.29-3.54, 4 Y 3.30-3.50, 2 Er 3.46-3.60
Er 0.2500 0.4042 0.5958  8 Y 3.46-3.72, 2 La 3.55
Er 0.7500 0.5958 0.4042  8 Y 3.46-3.72, 2 La 3.55